1.
DFT (GGA-PBE) results for crystalline RbAcCu2Cl6 at its relaxed geometry.

Cell: 10.121 14.264 9.144 Å, 90.00 107.27 90.00°
Space group C2/c (No. 15)
Asymmetric unit:
Rb: 0.000 0.127 0.250 x4
Ac: 0.000 0.445 0.750 x4
Cu: 0.227 0.144 0.716 x8
Cl: 0.040 0.387 0.073 x8
Cl: 0.199 0.288 0.769 x8
Cl: 0.202 0.013 0.595 x8

Computed properties:
total magnetization	0.123	μB per formula unit

---

2.
DFT (GGA-PBE) results for crystalline Ac4CuRhCl2 at its relaxed geometry.

Cell: 7.577 4.405 8.310 Å, 90.00 108.25 90.00°
Space group P2/m (No. 10)
Asymmetric unit:
Ac: 0.232 0.000 0.204 x2
Ac: 0.254 0.500 0.794 x2
Cu: 0.500 0.000 0.000 x1
Rh: 0.000 0.500 0.000 x1
Cl: 0.000 0.000 0.500 x1
Cl: 0.500 0.500 0.500 x1

Computed properties:
total magnetization	0.000	μB per formula unit

---

| no. | raw total energy (eV per atom) | DOS(E_F) (states/eV/f.u.) | raw formation energy (eV per atom) |
| --- | --- | --- | --- |
| 1 | -3.965 | 0.000 | -1.530 |
| 2 | -4.959 | 4.999 | -1.012 |